DFT (PBE) results for an optimized crystal structure of Tb6ErSe8.

abc: 8.1578 8.1578 8.1578
angles: 60.00 60.00 60.00
Atoms (fractional coordinates):
Tb 0.0000 0.5000 0.5000
Tb 0.5000 0.0000 0.0000
Tb 0.5000 0.5000 0.0000
Tb 0.0000 0.0000 0.5000
Tb 0.0000 0.5000 0.0000
Tb 0.5000 0.0000 0.5000
Er 0.0000 0.0000 0.0000
Se 0.7500 0.7500 0.7500
Se 0.2500 0.2500 0.2500
Se 0.7492 0.2508 0.2508
Se 0.2508 0.7492 0.7492
Se 0.2508 0.2508 0.7492
Se 0.7492 0.7492 0.2508
Se 0.7492 0.2508 0.7492
Se 0.2508 0.7492 0.2508

As for the density of states at the Fermi level: 0.422 states/eV/atom. For the mass density, the calculation gives 7.58 g cm⁻³. The formation energy (no corrections) comes out at -1.84 eV/atom. As for the symmetry: No. 225. Its crystal system is cubic.

=====

DFT (PBE) results for an optimized crystal structure of KTm6S8.

abc: 7.6371 7.6371 7.6371
angles: 93.67 93.67 93.67
Atoms (fractional coordinates):
K 0.0000 0.0000 0.0000
Tm 0.6181 0.4351 0.8046
Tm 0.4351 0.8046 0.6181
Tm 0.8046 0.6181 0.4351
Tm 0.3819 0.5649 0.1954
Tm 0.5649 0.1954 0.3819
Tm 0.1954 0.3819 0.5649
S 0.7515 0.7515 0.7515
S 0.2485 0.2485 0.2485
S 0.5934 0.8565 0.3082
S 0.8565 0.3082 0.5934
S 0.3082 0.5934 0.8565
S 0.4066 0.1435 0.6918
S 0.1435 0.6918 0.4066
S 0.6918 0.4066 0.1435

As for the density of states at the Fermi level: 0.527 states/eV/atom. For the mass density, the calculation gives 4.91 g cm⁻³. The formation energy (no corrections) comes out at -1.81 eV/atom. As for the symmetry: No. 148. Its crystal system is trigonal.

=====

DFT (PBE) results for an optimized crystal structure of LaReSb2.

abc: 6.1355 6.1355 6.1355
angles: 147.79 124.86 65.32
Atoms (fractional coordinates):
La 0.7500 0.2500 0.5000
Re 0.2500 0.7500 0.5000
Sb 0.0469 0.0469 0.0000
Sb 0.4531 0.4531 0.0000

Its energy relative to the lowest polymorph listed for this composition is 0.2262 eV/atom. As for the density of states at the Fermi level: 0.836 states/eV/atom. For the mass density, the calculation gives 9.45 g cm⁻³. The formation energy (no corrections) comes out at -0.04 eV/atom. As for the symmetry: No. 71. Its crystal system is orthorhombic.

=====

DFT (PBE) results for an optimized crystal structure of LaPm3Ir.

abc: 5.6112 5.6112 5.6112
angles: 90.00 90.00 90.00
Last column: magnetic moment on the atom in μB.
Atoms (fractional coordinates):
Ir 0.0000 0.0000 0.0000  0.03
La 0.5000 0.5000 0.5000  0.26
Pm 0.0000 0.5000 0.0000  0.10
Pm 0.0000 0.0000 0.5000  0.10
Pm 0.5000 0.0000 0.0000  0.10

Its energy relative to the lowest polymorph listed for this composition is 0.1455 eV/atom. As for the density of states at the Fermi level: 1.646 states/eV/atom. For the mass density, the calculation gives 7.20 g cm⁻³. As for the symmetry: No. 221. Its crystal system is cubic.

=====

DFT (PBE) results for an optimized crystal structure of Er3Tl2Cd.

abc: 3.7144 5.3241 15.9834
angles: 90.00 90.00 90.00
Atoms (fractional coordinates):
Er 0.5001 0.5000 0.6659
Er 0.5007 0.0000 0.5000
Er 0.5001 0.5000 0.3341
Er 0.4999 0.0000 0.1659
Er 0.4993 0.5000 0.0000
Er 0.4999 0.0000 0.8341
Tl 0.0003 0.0000 0.6633
Tl 0.0003 0.0000 0.3367
Tl 0.9997 0.5000 0.1633
Tl 0.9997 0.5000 0.8367
Cd 0.0008 0.5000 0.5000
Cd 0.9992 0.0000 0.0000

As for the density of states at the Fermi level: 0.884 states/eV/atom. The total energy is -42.50 eV/cell. For the mass density, the calculation gives 10.75 g cm⁻³. As for the symmetry: No. 59. Its crystal system is orthorhombic.

=====

DFT (PBE) results for an optimized crystal structure of TiTe6Pd3.

abc: 3.9750 11.4226 11.2290
angles: 106.27 90.00 90.00
Atoms (fractional coordinates):
Ti 0.7500 0.0622 0.7044
Ti 0.2500 0.9378 0.2956
Te 0.7500 0.4757 0.6160
Te 0.2500 0.5243 0.3840
Te 0.7500 0.9282 0.1027
Te 0.2500 0.0718 0.8973
Te 0.7500 0.4050 0.0760
Te 0.2500 0.5950 0.9240
Te 0.7500 0.7448 0.2859
Te 0.2500 0.2552 0.7141
Te 0.7500 0.0934 0.4525
Te 0.2500 0.9066 0.5475
Te 0.7500 0.8198 0.7479
Te 0.2500 0.1802 0.2521
Pd 0.7500 0.4300 0.8427
Pd 0.2500 0.5700 0.1573
Pd 0.7500 0.6639 0.5075
Pd 0.2500 0.3361 0.4925
Pd 0.7500 0.1669 0.0821
Pd 0.2500 0.8331 0.9179

As for the density of states at the Fermi level: 0.721 states/eV/atom. For the mass density, the calculation gives 7.69 g cm⁻³. The formation energy (no corrections) comes out at -0.31 eV/atom. As for the symmetry: No. 11. Its crystal system is monoclinic.

=====

DFT (PBE) results for an optimized crystal structure of CaAcLa2Hg4.

abc: 5.5177 5.5177 9.6887
angles: 73.46 73.46 60.00
Atoms (fractional coordinates):
Ca 0.5000 0.5000 0.5000
Ac 0.0000 0.0000 0.0000
La 0.7539 0.7539 0.7384
La 0.2461 0.2461 0.2616
Hg 0.3788 0.3788 0.8636
Hg 0.8736 0.8736 0.3793
Hg 0.1264 0.1264 0.6207
Hg 0.6212 0.6212 0.1364

As for the density of states at the Fermi level: 0.795 states/eV/atom. The total energy is -21.33 eV/cell. For the mass density, the calculation gives 9.27 g cm⁻³. As for the symmetry: No. 166. Its crystal system is trigonal.

=====

DFT (PBE) results for an optimized crystal structure of Pr2HoTm9.

abc: 4.9917 4.9917 14.9626
angles: 90.00 90.00 90.00
Atoms (fractional coordinates):
Pr 0.0000 0.0000 0.3330
Pr 0.0000 0.0000 0.6670
Ho 0.0000 0.0000 0.0000
Tm 0.5000 0.5000 0.0000
Tm 0.5000 0.5000 0.3317
Tm 0.5000 0.5000 0.6683
Tm 0.5000 0.0000 0.1639
Tm 0.5000 0.0000 0.5000
Tm 0.5000 0.0000 0.8361
Tm 0.0000 0.5000 0.1639
Tm 0.0000 0.5000 0.5000
Tm 0.0000 0.5000 0.8361

Its energy relative to the lowest polymorph listed for this composition is 0.0000 eV/atom. As for the density of states at the Fermi level: 1.433 states/eV/atom. For the mass density, the calculation gives 8.76 g cm⁻³. As for the symmetry: No. 123. Its crystal system is tetragonal.

=====

DFT (PBE) results for an optimized crystal structure of ErBrCl.

abc: 3.7382 6.7385 8.3305
angles: 68.56 77.42 90.00
Last column: magnetic moment on the atom in μB.
Atoms (fractional coordinates):
Er 0.7474 0.7051 0.5053  0.68
Er 0.2526 0.2949 0.4947  0.68
Br 0.6466 0.9804 0.7132  0.01
Br 0.3534 0.0196 0.2868  0.01
Cl 0.1291 0.4759 0.7491  0.03
Cl 0.8709 0.5241 0.2509  0.03

As for the density of states at the Fermi level: 0.173 states/eV/atom. For the mass density, the calculation gives 4.94 g cm⁻³. The formation energy (no corrections) comes out at -1.71 eV/atom. As for the symmetry: No. 2. Its crystal system is triclinic.

=====

DFT (PBE) results for an optimized crystal structure of K3AuS.

abc: 5.9986 5.9986 5.9986
angles: 90.00 90.00 90.00
Atoms (fractional coordinates):
K 0.0000 0.5000 0.0000
K 0.0000 0.0000 0.5000
K 0.5000 0.0000 0.0000
Au 0.5000 0.5000 0.5000
S 0.0000 0.0000 0.0000

Its energy relative to the lowest polymorph listed for this composition is 0.0000 eV/atom. As for the density of states at the Fermi level: 0.000 states/eV/atom. For the mass density, the calculation gives 2.66 g cm⁻³. The formation energy (no corrections) comes out at -0.65 eV/atom. As for the symmetry: No. 221. Its crystal system is cubic.

=====

DFT (PBE) results for an optimized crystal structure of ScBe2SeBr.

abc: 4.3535 5.1734 4.3535
angles: 90.00 90.00 90.00
Atoms (fractional coordinates):
Sc 0.0000 0.5000 0.0000
Be 0.0000 0.0000 0.5000
Be 0.5000 0.0000 0.0000
Se 0.5000 0.5000 0.5000
Br 0.0000 0.0000 0.0000

As for the density of states at the Fermi level: 0.536 states/eV/atom. For the mass density, the calculation gives 3.76 g cm⁻³. The formation energy (no corrections) comes out at 0.68 eV/atom. As for the symmetry: No. 123. Its crystal system is tetragonal.

=====

DFT (PBE) results for an optimized crystal structure of TiGeOsCl2.

abc: 4.5894 5.0807 4.5894
angles: 90.00 90.00 90.00
Last column: magnetic moment on the atom in μB.
Atoms (fractional coordinates):
Ge 0.5000 0.5000 0.5000  -0.10
Cl 0.0000 0.0000 0.5000  0.00
Cl 0.5000 0.0000 0.0000  0.00
Os 0.0000 0.5000 0.0000  1.03
Ti 0.0000 0.0000 0.0000  -0.38

As for the density of states at the Fermi level: 0.878 states/eV/atom. For the mass density, the calculation gives 5.92 g cm⁻³. The formation energy (no corrections) comes out at 0.40 eV/atom. As for the symmetry: No. 123. Its crystal system is tetragonal.